# PmYEr6Tm2 (PBE-GGA, relaxed)
# D(E_F): 30.04 states/eV/cell
# Crystal system: monoclinic
# SG: No. 15
data_PmYEr6Tm2
_space_group_name_H-M_alt 'P 1'
_space_group_IT_number 1
_cell_length_a 9.4271
_cell_length_b 8.7229
_cell_length_c 8.7229
_cell_angle_alpha 117.72
_cell_angle_beta 93.38
_cell_angle_gamma 93.38
loop_
_space_group_symop_operation_xyz
'x,y,z'
loop_
_atom_site_label
_atom_site_type_symbol
_atom_site_fract_x
_atom_site_fract_y
_atom_site_fract_z
_atom_site_occupancy
Pm1 Pm 0.2500 0.9724 0.0276 1
Er1 Er 0.8822 0.2909 0.5100 1
Y1 Y 0.2500 0.4095 0.5905 1
Er2 Er 0.3822 0.5100 0.2909 1
Er3 Er 0.1813 0.5653 0.0196 1
Er4 Er 0.3187 0.9804 0.4347 1
Tm1 Tm 0.4532 0.8017 0.6950 1
Y2 Y 0.7500 0.5905 0.4095 1
Er5 Er 0.8187 0.4347 0.9804 1
Tm2 Tm 0.5468 0.1983 0.3050 1
Er6 Er 0.5571 0.7528 0.1228 1
Tm3 Tm 0.9532 0.6950 0.8017 1
Er7 Er 0.4429 0.2472 0.8772 1
Er8 Er 0.6178 0.4900 0.7091 1
Pm2 Pm 0.7500 0.0276 0.9724 1
Tm4 Tm 0.0468 0.3050 0.1983 1
Er9 Er 0.1178 0.7091 0.4900 1
Er10 Er 0.0571 0.1228 0.7528 1
Er11 Er 0.6813 0.0196 0.5653 1
Er12 Er 0.9429 0.8772 0.2472 1

---

# Pm3YEr6Tm2 (PBE-GGA, relaxed)
# D(E_F): 16.74 states/eV/cell
# Crystal system: monoclinic
# SG: No. 12
data_Pm3YEr6Tm2
_space_group_name_H-M_alt 'P 1'
_space_group_IT_number 1
_cell_length_a 6.1451
_cell_length_b 6.1451
_cell_length_c 11.7240
_cell_angle_alpha 95.00
_cell_angle_beta 95.00
_cell_angle_gamma 119.96
loop_
_space_group_symop_operation_xyz
'x,y,z'
loop_
_atom_site_label
_atom_site_type_symbol
_atom_site_fract_x
_atom_site_fract_y
_atom_site_fract_z
_atom_site_occupancy
Er1 Er 0.4169 0.0826 0.2466 1
Er2 Er 0.0826 0.4169 0.2466 1
Er3 Er 0.9174 0.5831 0.7534 1
Y1 Y 0.0000 0.0000 0.0000 1
Er4 Er 0.2518 0.2518 0.7534 1
Pm1 Pm 0.8332 0.1668 0.5000 1
Tm1 Tm 0.6667 0.3333 0.0000 1
Tm2 Tm 0.3333 0.6667 0.0000 1
Er5 Er 0.5831 0.9174 0.7534 1
Pm2 Pm 0.1668 0.8332 0.5000 1
Pm3 Pm 0.5000 0.5000 0.5000 1
Er6 Er 0.7482 0.7482 0.2466 1

---

# Pm2Y6ErTm (PBE-GGA, relaxed)
# D(E_F): 28.10 states/eV/cell
# Crystal system: monoclinic
# SG: No. 15
data_Pm2Y6ErTm
_space_group_name_H-M_alt 'P 1'
_space_group_IT_number 1
_cell_length_a 9.7260
_cell_length_b 8.7717
_cell_length_c 8.7717
_cell_angle_alpha 117.78
_cell_angle_beta 94.89
_cell_angle_gamma 94.89
loop_
_space_group_symop_operation_xyz
'x,y,z'
loop_
_atom_site_label
_atom_site_type_symbol
_atom_site_fract_x
_atom_site_fract_y
_atom_site_fract_z
_atom_site_occupancy
Tm1 Tm 0.2500 0.4068 0.5932 1
Y1 Y 0.0568 0.1243 0.7487 1
Er1 Er 0.2500 0.9808 0.0192 1
Er2 Er 0.7500 0.0192 0.9808 1
Y2 Y 0.9432 0.8757 0.2513 1
Y3 Y 0.3819 0.5018 0.2932 1
Pm1 Pm 0.9554 0.7043 0.8053 1
Y4 Y 0.8819 0.2932 0.5018 1
Y5 Y 0.6865 0.0179 0.5751 1
Tm2 Tm 0.7500 0.5932 0.4068 1
Pm2 Pm 0.5446 0.1947 0.2957 1
Y6 Y 0.1181 0.7068 0.4982 1
Y7 Y 0.4432 0.2513 0.8757 1
Y8 Y 0.5568 0.7487 0.1243 1
Y9 Y 0.1865 0.5751 0.0179 1
Y10 Y 0.8135 0.4249 0.9821 1
Y11 Y 0.3135 0.9821 0.4249 1
Y12 Y 0.6181 0.4982 0.7068 1
Pm3 Pm 0.0446 0.2957 0.1947 1
Pm4 Pm 0.4554 0.8053 0.7043 1

---

# Pm6Y3Er2Tm (PBE-GGA, relaxed)
# D(E_F): 13.89 states/eV/cell
# Crystal system: monoclinic
# SG: No. 12
data_Pm6Y3Er2Tm
_space_group_name_H-M_alt 'P 1'
_space_group_IT_number 1
_cell_length_a 6.2389
_cell_length_b 6.2389
_cell_length_c 11.8042
_cell_angle_alpha 95.04
_cell_angle_beta 95.04
_cell_angle_gamma 119.98
loop_
_space_group_symop_operation_xyz
'x,y,z'
loop_
_atom_site_label
_atom_site_type_symbol
_atom_site_fract_x
_atom_site_fract_y
_atom_site_fract_z
_atom_site_occupancy
Y1 Y 0.1666 0.8334 0.5000 1
Er1 Er 0.3333 0.6667 0.0000 1
Pm1 Pm 0.5840 0.9172 0.7523 1
Y2 Y 0.5000 0.5000 0.5000 1
Pm2 Pm 0.9172 0.5840 0.7523 1
Pm3 Pm 0.0828 0.4160 0.2477 1
Y3 Y 0.8334 0.1666 0.5000 1
Pm4 Pm 0.7496 0.7496 0.2477 1
Tm1 Tm 0.0000 0.0000 0.0000 1
Pm5 Pm 0.4160 0.0828 0.2477 1
Er2 Er 0.6667 0.3333 0.0000 1
Pm6 Pm 0.2504 0.2504 0.7523 1

---

no.,total DFT energy (no corrections) (eV/atom)
1,-4.63
2,-4.73
3,-5.62
4,-5.11